# CsTiPdSe2, optimized geometry, DFT PBE-GGA
# ΔE_f (raw) ... -0.959 eV/atom
# D(E_F) ... 2.79 states/eV per cell
# Total DFT energy (no corrections) ... -5.1413 eV/atom
# Energy above the lowest structure with this stoichiometry ... 0.000 eV per atom
data_CsTiPdSe2
_chemical_formula_sum 'Cs2 Ti2 Pd2 Se4'
_space_group_name_H-M_alt 'P 1'
_space_group_IT_number 1
_cell_length_a 8.358
_cell_length_b 8.358
_cell_length_c 5.682
_cell_angle_alpha 90.00
_cell_angle_beta 90.00
_cell_angle_gamma 136.84
loop_
_space_group_symop_operation_xyz
'x,y,z'
loop_
_atom_site_label
_atom_site_type_symbol
_atom_site_fract_x
_atom_site_fract_y
_atom_site_fract_z
_atom_site_occupancy
Cs1 Cs 0.250 0.750 0.788 1
Cs2 Cs 0.750 0.250 0.212 1
Ti1 Ti 0.250 0.250 0.500 1
Ti2 Ti 0.750 0.750 0.500 1
Pd1 Pd 0.000 0.000 0.000 1
Pd2 Pd 0.500 0.500 0.000 1
Se1 Se 0.108 0.892 0.311 1
Se2 Se 0.392 0.608 0.311 1
Se3 Se 0.608 0.392 0.689 1
Se4 Se 0.892 0.108 0.689 1


# KGaSi, optimized geometry, DFT PBE-GGA
# ΔE_f (raw) ... 0.075 eV/atom
# D(E_F) ... 0.74 states/eV per cell
# Total DFT energy (no corrections) ... -3.1078 eV/atom
data_KGaSi
_chemical_formula_sum 'K2 Ga2 Si2'
_space_group_name_H-M_alt 'P 1'
_space_group_IT_number 1
_cell_length_a 7.047
_cell_length_b 7.047
_cell_length_c 5.557
_cell_angle_alpha 110.53
_cell_angle_beta 110.53
_cell_angle_gamma 41.31
loop_
_space_group_symop_operation_xyz
'x,y,z'
loop_
_atom_site_label
_atom_site_type_symbol
_atom_site_fract_x
_atom_site_fract_y
_atom_site_fract_z
_atom_site_occupancy
K1 K 0.117 0.117 0.378 1
K2 K 0.883 0.883 0.622 1
Ga1 Ga 0.427 0.427 0.154 1
Ga2 Ga 0.573 0.573 0.846 1
Si1 Si 0.000 0.500 0.000 1
Si2 Si 0.500 0.000 0.000 1


# HoZnCu2, optimized geometry, DFT PBE-GGA
# D(E_F) ... 2.06 states/eV per cell
# Total DFT energy (no corrections) ... -3.6363 eV/atom
data_HoZnCu2
_chemical_formula_sum 'Ho1 Zn1 Cu2'
_space_group_name_H-M_alt 'P 1'
_space_group_IT_number 1
_cell_length_a 3.226
_cell_length_b 3.226
_cell_length_c 6.444
_cell_angle_alpha 90.00
_cell_angle_beta 90.00
_cell_angle_gamma 90.00
loop_
_space_group_symop_operation_xyz
'x,y,z'
loop_
_atom_site_label
_atom_site_type_symbol
_atom_site_fract_x
_atom_site_fract_y
_atom_site_fract_z
_atom_site_occupancy
Ho1 Ho 0.000 0.000 0.000 1
Zn1 Zn 0.000 0.000 0.500 1
Cu1 Cu 0.500 0.500 0.295 1
Cu2 Cu 0.500 0.500 0.705 1


# CeTmOs, optimized geometry, DFT PBE-GGA
# D(E_F) ... 5.76 states/eV per cell
# Total DFT energy (no corrections) ... -7.3739 eV/atom
# Energy above the lowest structure with this stoichiometry ... 0.028 eV per atom
data_CeTmOs
_chemical_formula_sum 'Ce1 Tm1 Os1'
_space_group_name_H-M_alt 'P 1'
_space_group_IT_number 1
_cell_length_a 4.778
_cell_length_b 4.778
_cell_length_c 4.778
_cell_angle_alpha 60.00
_cell_angle_beta 60.00
_cell_angle_gamma 60.00
loop_
_space_group_symop_operation_xyz
'x,y,z'
loop_
_atom_site_label
_atom_site_type_symbol
_atom_site_fract_x
_atom_site_fract_y
_atom_site_fract_z
_atom_site_occupancy
Ce1 Ce 0.000 0.000 0.000 1
Tm1 Tm 0.500 0.500 0.500 1
Os1 Os 0.250 0.250 0.250 1


Which value of total DFT energy (no corrections) does entry 1 give?
-5.1413 eV/atom